Record 1
{"formula": "BeSbSe2", "functional": "PBEsol", "state": "optimized geometry", "raw_formation_energy_mev_per_atom": 167, "dos_at_fermi_per_ev_atom": 0.37, "cell": [[-0.916, 3.177, 1.089], [-2.150, -0.383, 4.872], [3.114, 1.398, 4.106]], "species": ["Se", "Sb", "Se", "Be"], "frac_coords": [[0.019, 0.981, 0.981], [0.782, 0.718, 0.718], [0.175, 0.325, 0.325], [0.523, 0.477, 0.477]]}



Record 2
{"formula": "Be2SbSe", "functional": "PBEsol", "state": "optimized geometry", "raw_formation_energy_mev_per_atom": 439, "dos_at_fermi_per_ev_atom": 0.33, "cell": [[3.153, 0.000, 0.000], [0.000, 3.153, 0.000], [0.000, 0.000, 6.499]], "species": ["Sb", "Se", "Be", "Be"], "frac_coords": [[0.500, 0.500, 0.000], [0.500, 0.500, 0.500], [0.000, 0.000, 0.679], [0.000, 0.000, 0.321]]}



Record 3
{"formula": "Be2SbSe", "functional": "PBEsol", "state": "optimized geometry", "raw_formation_energy_mev_per_atom": 824, "dos_at_fermi_per_ev_atom": 0.41, "cell": [[4.594, 0.000, 0.000], [2.297, 3.978, 0.000], [2.297, 1.326, 3.751]], "species": ["Se", "Be", "Be", "Sb"], "frac_coords": [[0.250, 0.250, 0.250], [0.000, 0.000, 0.000], [0.750, 0.750, 0.750], [0.500, 0.500, 0.500]]}